An optimized crystal structure of AlMoP2O, computed with PBE+U.

a = 4.850 Å, b = 4.850 Å, c = 3.775 Å
α = 90.00°, β = 90.00°, γ = 90.00°
Space group P4/mmm (No. 123)
Symmetry-distinct sites (fractional):
Al  0.000  0.000  0.000 (multiplicity 1)
Mo  0.500  0.500  0.500 (multiplicity 1)
P  0.000  0.500  0.500 (multiplicity 2)
O  0.500  0.500  0.000 (multiplicity 1)

Computed properties:
Theoretical density   3.755 g cm⁻³
Density of states at the Fermi level   1.7 states/eV/cell
Crystal system   tetragonal
E_tot   -5.259 eV/atom
E above lowest polymorph   0.113 eV/atom